Run a
First-principles (PBE-GGA) data for crystalline GaTe2PbI at its relaxed geometry, as listed in Alexandria.

Lattice parameters (Å, degrees): 5.8955 5.8955 6.3225 90.00 90.00 90.00
Last column: nearest neighbours and their distance in Å.
Space group P4/mmm (No. 123)
Symmetry-distinct sites (fractional):
Ga (0.0000, 0.0000, 0.0000) x1  4 I 4.17, 8 Te 4.32
Te (0.0000, 0.5000, 0.5000) x2  2 Pb 2.95
Pb (0.5000, 0.5000, 0.5000) x1  4 Te 2.95, 2 I 3.16
I (0.5000, 0.5000, 0.0000) x1  2 Pb 3.16

=====

Run b
First-principles (PBE-GGA) data for crystalline GaTe2PbI at its relaxed geometry, as listed in Alexandria.

Lattice parameters (Å, degrees): 5.4276 5.4276 5.7409 90.00 90.00 90.00
Last column: nearest neighbours and their distance in Å.
Space group P4/mmm (No. 123)
Symmetry-distinct sites (fractional):
Ga (0.0000, 0.0000, 0.0000) x1  4 Te 2.71, 2 I 2.87
Te (0.0000, 0.5000, 0.0000) x2  2 Ga 2.71
Pb (0.5000, 0.5000, 0.5000) x1  4 I 3.84, 8 Te 3.95
I (0.0000, 0.0000, 0.5000) x1  2 Ga 2.87

=====

Which of them is the most stable, and which is the least stable? run b and run a, in that order.

=====

Run a
First-principles (PBE-GGA) data for crystalline GaTePbI2 at its relaxed geometry, as listed in Alexandria.

Lattice parameters (Å, degrees): 7.6598 7.6598 8.8293 90.00 90.00 90.00
Last column: nearest neighbours and their distance in Å.
Space group P4/mmm (No. 123)
Symmetry-distinct sites (fractional):
Ga (0.0000, 0.0000, 0.0000) x1  4 Te 5.42, 8 I 5.84
Te (0.5000, 0.5000, 0.0000) x1  2 Pb 4.41
Pb (0.5000, 0.5000, 0.5000) x1  4 I 3.83
I (0.0000, 0.5000, 0.5000) x2  2 Pb 3.83

=====

Run b
First-principles (PBE-GGA) data for crystalline GaTePbI2 at its relaxed geometry, as listed in Alexandria.

Lattice parameters (Å, degrees): 5.4790 5.4790 6.0955 90.00 90.00 90.00
Last column: nearest neighbours and their distance in Å.
Space group P4/mmm (No. 123)
Symmetry-distinct sites (fractional):
Ga (0.0000, 0.0000, 0.0000) x1  4 I 2.74, 2 Pb 3.05
Te (0.5000, 0.5000, 0.5000) x1  4 Pb 3.87, 8 I 4.10
Pb (0.0000, 0.0000, 0.5000) x1  2 Ga 3.05
I (0.0000, 0.5000, 0.0000) x2  2 Ga 2.74

=====

Run c
First-principles (PBE-GGA) data for crystalline GaTePbI2 at its relaxed geometry, as listed in Alexandria.

Lattice parameters (Å, degrees): 5.9415 5.9415 5.8841 90.00 90.00 90.00
Last column: nearest neighbours and their distance in Å.
Space group P4/mmm (No. 123)
Symmetry-distinct sites (fractional):
Ga (0.0000, 0.0000, 0.0000) x1  2 Te 2.94, 4 I 2.97
Te (0.0000, 0.0000, 0.5000) x1  2 Ga 2.94
Pb (0.5000, 0.5000, 0.5000) x1  8 I 4.18, 4 Te 4.20
I (0.0000, 0.5000, 0.0000) x2  2 Ga 2.97

=====

Which of them is the most stable, and which is the least stable? run c and run a, in that order.

=====

Run a
First-principles (PBE-GGA) data for crystalline GaPd3I at its relaxed geometry, as listed in Alexandria.

Lattice parameters (Å, degrees): 5.0303 5.0303 5.0303 90.00 90.00 90.00
Last column: nearest neighbours and their distance in Å.
Space group Pm-3m (No. 221)
Symmetry-distinct sites (fractional):
Ga (0.0000, 0.0000, 0.0000) x1  12 Pd 3.56
Pd (0.0000, 0.5000, 0.5000) x3  2 I 2.52
I (0.5000, 0.5000, 0.5000) x1  6 Pd 2.52

=====

Run b
First-principles (PBE-GGA) data for crystalline GaPd3I at its relaxed geometry, as listed in Alexandria.

Lattice parameters (Å, degrees): 4.7375 4.7375 4.7375 90.00 90.00 90.00
Last column: nearest neighbours and their distance in Å.
Space group Pm-3m (No. 221)
Symmetry-distinct sites (fractional):
Ga (0.0000, 0.0000, 0.0000) x1  6 Pd 2.37
Pd (0.0000, 0.0000, 0.5000) x3  2 Ga 2.37
I (0.5000, 0.5000, 0.5000) x1  12 Pd 3.35

=====

Which of them is the most stable, and which is the least stable? run b and run a, in that order.

=====

Run a
First-principles (PBE-GGA) data for crystalline GaPdI2 at its relaxed geometry, as listed in Alexandria.

Lattice parameters (Å, degrees): 6.8345 6.8345 13.0212 90.00 90.00 90.00
Last column: nearest neighbours and their distance in Å.
Space group I-42d (No. 122)
Symmetry-distinct sites (fractional):
Ga (0.0000, 0.0000, 0.0000) x4  4 I 3.15
Pd (0.0000, 0.0000, 0.5000) x4  4 I 2.71
I (0.1950, 0.2500, 0.6250) x8  2 Pd 2.71

=====

Run b
First-principles (PBE-GGA) data for crystalline GaPdI2 at its relaxed geometry, as listed in Alexandria.

Lattice parameters (Å, degrees): 7.5105 7.5105 7.5105 90.00 90.00 90.00
Last column: nearest neighbours and their distance in Å.
Space group Fm-3m (No. 225)
Symmetry-distinct sites (fractional):
Ga (0.0000, 0.0000, 0.0000) x4  8 I 3.25
Pd (0.0000, 0.0000, 0.5000) x4  8 I 3.25
I (0.2500, 0.2500, 0.2500) x8  4 Pd 3.25, 4 Ga 3.25

=====

Which of them is the most stable, and which is the least stable? run a and run b, in that order.

=====

Run a
First-principles (PBE-GGA) data for crystalline GaSbPdI2 at its relaxed geometry, as listed in Alexandria.

Lattice parameters (Å, degrees): 5.7076 5.7076 5.1207 90.00 90.00 90.00
Last column: nearest neighbours and their distance in Å.
Space group P4/mmm (No. 123)
Symmetry-distinct sites (fractional):
Ga (0.0000, 0.0000, 0.0000) x1  8 I 3.83, 4 Sb 4.04
Sb (0.5000, 0.5000, 0.0000) x1  2 Pd 2.56
Pd (0.5000, 0.5000, 0.5000) x1  2 Sb 2.56, 4 I 2.85
I (0.0000, 0.5000, 0.5000) x2  2 Pd 2.85

=====

Run b
First-principles (PBE-GGA) data for crystalline GaSbPdI2 at its relaxed geometry, as listed in Alexandria.

Lattice parameters (Å, degrees): 5.6012 5.6012 5.3303 90.00 90.00 90.00
Last column: nearest neighbours and their distance in Å.
Space group P4/mmm (No. 123)
Symmetry-distinct sites (fractional):
Ga (0.0000, 0.0000, 0.0000) x1  2 Sb 2.67, 4 I 2.80
Sb (0.0000, 0.0000, 0.5000) x1  2 Ga 2.67
Pd (0.5000, 0.5000, 0.5000) x1  8 I 3.87, 4 Sb 3.96
I (0.0000, 0.5000, 0.0000) x2  2 Ga 2.80

=====

Which of them is the most stable, and which is the least stable? run a and run b, in that order.

=====

Run a
First-principles (PBE-GGA) data for crystalline GaTePdI2 at its relaxed geometry, as listed in Alexandria.

Lattice parameters (Å, degrees): 5.5932 5.5932 5.2868 90.00 90.00 90.00
Last column: nearest neighbours and their distance in Å.
Space group P4/mmm (No. 123)
Symmetry-distinct sites (fractional):
Ga (0.0000, 0.0000, 0.0000) x1  8 I 3.85, 4 Te 3.95
Te (0.5000, 0.5000, 0.0000) x1  2 Pd 2.64
Pd (0.5000, 0.5000, 0.5000) x1  2 Te 2.64, 4 I 2.80
I (0.0000, 0.5000, 0.5000) x2  2 Pd 2.80

=====

Run b
First-principles (PBE-GGA) data for crystalline GaTePdI2 at its relaxed geometry, as listed in Alexandria.

Lattice parameters (Å, degrees): 5.5948 5.5948 5.4037 90.00 90.00 90.00
Last column: nearest neighbours and their distance in Å.
Space group P4/mmm (No. 123)
Symmetry-distinct sites (fractional):
Ga (0.0000, 0.0000, 0.0000) x1  2 Te 2.70, 4 I 2.80
Te (0.0000, 0.0000, 0.5000) x1  2 Ga 2.70
Pd (0.5000, 0.5000, 0.5000) x1  8 I 3.89, 4 Te 3.96
I (0.0000, 0.5000, 0.0000) x2  2 Ga 2.80

=====

Which of them is the most stable, and which is the least stable? run a and run b, in that order.